1.
Compound: Ce6TlPb5
Source: Alexandria
Functional: GGA-PBE
Structure: optimized geometry

The space group is C2/m (No. 12) and the conventional cell measures 7.905, 13.636 and 7.934 Å, with angles of 90.00, 109.21 and 90.00 degrees. The asymmetric unit holds Ce at (0.244, 0.000, 0.252), Ce at (0.245, 0.170, 0.746), Tl at (0.000, 0.500, 0.000), Pb at (0.000, 0.000, 0.500), Pb at (0.000, 0.167, 0.000) and Pb at (0.000, 0.337, 0.500).

The density of states at the Fermi level is 61.42 states/eV per cell. The value obtained for the calculated volume is 808 Å³/cell. The formation enthalpy at 0 K is -0.22 eV/atom.

---

2.
Compound: Ce2Tl3Pb3
Source: Alexandria
Functional: GGA-PBE
Structure: optimized geometry

The space group is Pmmm (No. 47) and the conventional cell measures 4.836, 4.940 and 9.608 Å, with angles of 90.00, 90.00 and 90.00 degrees. The asymmetric unit holds Ce at (0.000, 0.000, 0.249), Tl at (0.000, 0.500, 0.500), Tl at (0.500, 0.500, 0.253), Pb at (0.000, 0.500, 0.000), Pb at (0.500, 0.000, 0.000) and Pb at (0.500, 0.000, 0.500).

The density of states at the Fermi level is 12.80 states/eV per cell. The value obtained for the calculated volume is 230 Å³/cell. The formation enthalpy at 0 K is -0.30 eV/atom.

---

3.
Compound: Ce2Tl5Pb
Source: Alexandria
Functional: GGA-PBE
Structure: optimized geometry

The space group is Pbam (No. 55) and the conventional cell measures 6.907, 13.725 and 4.779 Å, with angles of 90.00, 90.00 and 90.00 degrees. The asymmetric unit holds Ce at (0.241, 0.123, 0.000), Tl at (0.000, 0.500, 0.500), Tl at (0.012, 0.749, 0.500), Tl at (0.239, 0.372, 0.000) and Pb at (0.000, 0.000, 0.500).

The density of states at the Fermi level is 27.57 states/eV per cell. The value obtained for the calculated volume is 453 Å³/cell. The formation enthalpy at 0 K is -0.26 eV/atom.

---

4.
Compound: CeTmTlPb
Source: Alexandria
Functional: GGA-PBE
Structure: optimized geometry

The space group is P4mm (No. 99) and the conventional cell measures 3.964, 3.964 and 7.255 Å, with angles of 90.00, 90.00 and 90.00 degrees. The asymmetric unit holds Ce at (0.000, 0.000, 0.000), Tm at (0.000, 0.000, 0.502), Tl at (0.500, 0.500, 0.267) and Pb at (0.500, 0.500, 0.734).

The density of states at the Fermi level is 9.25 states/eV per cell. The value obtained for the calculated volume is 114 Å³/cell. The formation enthalpy at 0 K is -0.31 eV/atom.

---

5.
Compound: CeTmTlPb
Source: Alexandria
Functional: GGA-PBE
Structure: optimized geometry

The space group is F-43m (No. 216) and the conventional cell measures 7.698, 7.698 and 7.698 Å, with angles of 90.00, 90.00 and 90.00 degrees. The asymmetric unit holds Ce at (0.000, 0.000, 0.000), Tm at (0.000, 0.000, 0.500), Tl at (0.250, 0.250, 0.750) and Pb at (0.250, 0.250, 0.250).

The density of states at the Fermi level is 34.95 states/eV per cell. The value obtained for the calculated volume is 456 Å³/cell. The formation enthalpy at 0 K is -0.30 eV/atom.

---

6.
Compound: CeYTlPb
Source: Alexandria
Functional: GGA-PBE
Structure: optimized geometry

The space group is F-43m (No. 216) and the conventional cell measures 7.744, 7.744 and 7.744 Å, with angles of 90.00, 90.00 and 90.00 degrees. The asymmetric unit holds Ce at (0.000, 0.000, 0.000), Y at (0.000, 0.000, 0.500), Tl at (0.250, 0.250, 0.250) and Pb at (0.250, 0.250, 0.750).

The density of states at the Fermi level is 35.86 states/eV per cell. The value obtained for the calculated volume is 464 Å³/cell. The formation enthalpy at 0 K is -0.35 eV/atom.